No. 1
Compound: KPm3Pr2Te6
Source: Alexandria via LeMat-Bulk
Functional: PBE
Structure: relaxed

Its calculated density is 6.32 g cm⁻³. The uncorrected formation energy comes out at -1.407 eV per atom. The calculation puts the total energy at -0.1857 hartree per atom. For the total magnetization, the calculation gives 0.00 μB/cell.

CIF file:
```
data_KPm3Pr2Te6
_chemical_formula_sum 'K2 Pm6 Pr4 Te12'
_cell_length_a 19.8742
_cell_length_b 4.4974
_cell_length_c 9.2110
_cell_angle_alpha 90.00
_cell_angle_beta 103.82
_cell_angle_gamma 90.00
_symmetry_space_group_name_H-M 'C 1 2/m 1'
_symmetry_Int_Tables_number 12
loop_
_symmetry_equiv_pos_as_xyz
'x,y,z'
'-x,-y,-z'
'-x,y,-z'
'x,-y,z'
'x+1/2,y+1/2,z'
'-x+1/2,-y+1/2,-z'
'-x+1/2,y+1/2,-z'
'x+1/2,-y+1/2,z'
loop_
_atom_site_label
_atom_site_type_symbol
_atom_site_fract_x
_atom_site_fract_y
_atom_site_fract_z
K1 K 0.0000 0.0000 0.0000
Pm1 Pm 0.0000 0.0000 0.5000
Pm2 Pm 0.1634 0.5000 0.8233
Pr1 Pr 0.1704 0.5000 0.3445
Te1 Te 0.0017 0.5000 0.2627
Te2 Te 0.1638 0.0000 0.5863
Te3 Te 0.1724 0.0000 0.0820
```

***

No. 2
Compound: Zr2MnIr
Source: Alexandria via LeMat-Bulk
Functional: PBE
Structure: relaxed

Its calculated density is 9.70 g cm⁻³. The calculation puts the total energy at -0.3250 hartree per atom. For the total magnetization, the calculation gives 4.00 μB/cell.

CIF file:
```
data_Zr2MnIr
_chemical_formula_sum 'Zr4 Mn2 Ir2'
_cell_length_a 8.4246
_cell_length_b 3.0510
_cell_length_c 5.7733
_cell_angle_alpha 90.00
_cell_angle_beta 97.45
_cell_angle_gamma 90.00
_symmetry_space_group_name_H-M 'C 1 2/m 1'
_symmetry_Int_Tables_number 12
loop_
_symmetry_equiv_pos_as_xyz
'x,y,z'
'-x,-y,-z'
'-x,y,-z'
'x,-y,z'
'x+1/2,y+1/2,z'
'-x+1/2,-y+1/2,-z'
'-x+1/2,y+1/2,-z'
'x+1/2,-y+1/2,z'
loop_
_atom_site_label
_atom_site_type_symbol
_atom_site_fract_x
_atom_site_fract_y
_atom_site_fract_z
Zr1 Zr 0.2478 0.0000 0.2526
Mn1 Mn 0.0000 0.0000 0.5000
Ir1 Ir 0.0000 0.5000 0.0000
```

***

No. 3
Compound: Cu2NiPCl
Source: Alexandria via LeMat-Bulk
Functional: PBE
Structure: relaxed

Its calculated density is 4.66 g cm⁻³. The uncorrected formation energy comes out at 0.425 eV per atom. The calculation puts the total energy at -0.1404 hartree per atom. For the total magnetization, the calculation gives 0.00 μB/cell.

CIF file:
```
data_Cu2NiPCl
_chemical_formula_sum 'Cu2 Ni1 P1 Cl1'
_cell_length_a 4.7422
_cell_length_b 4.7422
_cell_length_c 3.9933
_cell_angle_alpha 90.00
_cell_angle_beta 90.00
_cell_angle_gamma 90.00
_symmetry_space_group_name_H-M 'P 4/m m m'
_symmetry_Int_Tables_number 123
_symmetry_space_group_name_Hall '-P 4 2'
loop_
_atom_site_label
_atom_site_type_symbol
_atom_site_fract_x
_atom_site_fract_y
_atom_site_fract_z
Cu1 Cu 0.0000 0.5000 0.0000
Ni1 Ni 0.0000 0.0000 0.0000
P1 P 0.0000 0.0000 0.5000
Cl1 Cl 0.5000 0.5000 0.5000
```

***

No. 4
Compound: Li2CaMnBr6
Source: Alexandria via LeMat-Bulk
Functional: PBE
Structure: relaxed

Its calculated density is 3.66 g cm⁻³. The uncorrected formation energy comes out at -1.425 eV per atom. The calculation puts the total energy at -0.1444 hartree per atom. For the total magnetization, the calculation gives 15.00 μB/cell.

CIF file:
```
data_Li2CaMnBr6
_chemical_formula_sum 'Li6 Ca3 Mn3 Br18'
_cell_length_a 6.9489
_cell_length_b 6.9489
_cell_length_c 19.1345
_cell_angle_alpha 90.00
_cell_angle_beta 90.00
_cell_angle_gamma 120.00
_symmetry_space_group_name_H-M 'R 3'
_symmetry_Int_Tables_number 146
_symmetry_space_group_name_Hall 'R 3'
loop_
_atom_site_label
_atom_site_type_symbol
_atom_site_fract_x
_atom_site_fract_y
_atom_site_fract_z
Li1 Li 0.0000 0.0000 0.0000
Li2 Li 0.0000 0.0000 0.4988
Ca1 Ca 0.0000 0.0000 0.1916
Mn1 Mn 0.0000 0.0000 0.6893
Br1 Br 0.0110 0.3391 0.7599
Br2 Br 0.0176 0.7048 0.5985
```

***

No. 5
Compound: Rb2Ca2Ni
Source: Alexandria via LeMat-Bulk
Functional: PBE
Structure: relaxed

Its calculated density is 2.32 g cm⁻³. The calculation puts the total energy at -0.0752 hartree per atom. For the total magnetization, the calculation gives 0.00 μB/cell.

CIF file:
```
data_Rb2Ca2Ni
_chemical_formula_sum 'Rb4 Ca4 Ni2'
_cell_length_a 7.7192
_cell_length_b 7.7192
_cell_length_c 7.4315
_cell_angle_alpha 90.00
_cell_angle_beta 90.00
_cell_angle_gamma 90.00
_symmetry_space_group_name_H-M 'P 4/m b m'
_symmetry_Int_Tables_number 127
_symmetry_space_group_name_Hall '-P 4 2ab'
loop_
_atom_site_label
_atom_site_type_symbol
_atom_site_fract_x
_atom_site_fract_y
_atom_site_fract_z
Rb1 Rb 0.1892 0.3108 0.0000
Ca1 Ca 0.1866 0.6866 0.5000
Ni1 Ni 0.0000 0.0000 0.5000
```

***

No. 6
Compound: La3Pm2Pr6Mg
Source: Alexandria via LeMat-Bulk
Functional: PBE
Structure: relaxed

Its calculated density is 6.24 g cm⁻³. The calculation puts the total energy at -0.1665 hartree per atom. For the total magnetization, the calculation gives 0.00 μB/cell.

CIF file:
```
data_La3Pm2Pr6Mg
_chemical_formula_sum 'La6 Pm4 Pr12 Mg2'
_cell_length_a 6.3584
_cell_length_b 11.0296
_cell_length_c 12.1550
_cell_angle_alpha 90.00
_cell_angle_beta 100.14
_cell_angle_gamma 90.00
_symmetry_space_group_name_H-M 'C 1 2/m 1'
_symmetry_Int_Tables_number 12
loop_
_symmetry_equiv_pos_as_xyz
'x,y,z'
'-x,-y,-z'
'-x,y,-z'
'x,-y,z'
'x+1/2,y+1/2,z'
'-x+1/2,-y+1/2,-z'
'-x+1/2,y+1/2,-z'
'x+1/2,-y+1/2,z'
loop_
_atom_site_label
_atom_site_type_symbol
_atom_site_fract_x
_atom_site_fract_y
_atom_site_fract_z
La1 La 0.0000 0.0000 0.0000
La2 La 0.0000 0.3315 0.0000
Pm1 Pm 0.0000 0.1671 0.5000
Pr1 Pr 0.2457 0.3348 0.7452
Pr2 Pr 0.2489 0.5000 0.2533
Mg1 Mg 0.0000 0.5000 0.5000
```

***

No. 7
Compound: La2ZrIn2
Source: Alexandria via LeMat-Bulk
Functional: PBE
Structure: relaxed

Its calculated density is 6.51 g cm⁻³. The calculation puts the total energy at -0.1841 hartree per atom. For the total magnetization, the calculation gives 0.00 μB/cell.

CIF file:
```
data_La2ZrIn2
_chemical_formula_sum 'La4 Zr2 In4'
_cell_length_a 7.9464
_cell_length_b 7.9464
_cell_length_c 4.8335
_cell_angle_alpha 90.00
_cell_angle_beta 90.00
_cell_angle_gamma 90.00
_symmetry_space_group_name_H-M 'P 4/m b m'
_symmetry_Int_Tables_number 127
_symmetry_space_group_name_Hall '-P 4 2ab'
loop_
_atom_site_label
_atom_site_type_symbol
_atom_site_fract_x
_atom_site_fract_y
_atom_site_fract_z
La1 La 0.1715 0.3285 0.0000
Zr1 Zr 0.0000 0.0000 0.5000
In1 In 0.1328 0.6328 0.5000
```

***

No. 8
Compound: PtRhSe
Source: Alexandria via LeMat-Bulk
Functional: PBE
Structure: relaxed

Its calculated density is 13.06 g cm⁻³. The uncorrected formation energy comes out at 0.102 eV per atom. The calculation puts the total energy at -0.2030 hartree per atom. For the total magnetization, the calculation gives 0.00 μB/cell.

CIF file:
```
data_PtRhSe
_chemical_formula_sum 'Pt2 Rh2 Se2'
_cell_length_a 3.0159
_cell_length_b 3.0159
_cell_length_c 10.5383
_cell_angle_alpha 90.00
_cell_angle_beta 90.00
_cell_angle_gamma 90.00
_symmetry_space_group_name_H-M 'I 4 m m'
_symmetry_Int_Tables_number 107
_symmetry_space_group_name_Hall 'I 4 -2'
loop_
_atom_site_label
_atom_site_type_symbol
_atom_site_fract_x
_atom_site_fract_y
_atom_site_fract_z
Pt1 Pt 0.0000 0.0000 0.0000
Rh1 Rh 0.0000 0.0000 0.6803
Se1 Se 0.0000 0.0000 0.3183
```

***

No. 9
Compound: HPdAu2
Source: Alexandria via LeMat-Bulk
Functional: PBE
Structure: relaxed

Its calculated density is 15.19 g cm⁻³. The calculation puts the total energy at -0.1394 hartree per atom. For the total magnetization, the calculation gives 0.00 μB/cell.

CIF file:
```
data_HPdAu2
_chemical_formula_sum 'H2 Pd2 Au4'
_cell_length_a 4.4614
_cell_length_b 3.6010
_cell_length_c 6.9462
_cell_angle_alpha 90.00
_cell_angle_beta 100.84
_cell_angle_gamma 90.00
_symmetry_space_group_name_H-M 'C 1 m 1'
_symmetry_Int_Tables_number 8
loop_
_symmetry_equiv_pos_as_xyz
'x,y,z'
'x,-y,z'
'x+1/2,y+1/2,z'
'x+1/2,-y+1/2,z'
loop_
_atom_site_label
_atom_site_type_symbol
_atom_site_fract_x
_atom_site_fract_y
_atom_site_fract_z
H1 H 0.0000 0.0000 0.0000
Pd1 Pd 0.4022 0.0000 0.9655
Au1 Au 0.0612 0.0000 0.3072
Au2 Au 0.2293 0.5000 0.6359
```

***

No. 10
Compound: CaDyIr
Source: Alexandria via LeMat-Bulk
Functional: PBE
Structure: relaxed

Its calculated density is 8.89 g cm⁻³. The calculation puts the total energy at -0.2097 hartree per atom. For the total magnetization, the calculation gives 0.00 μB/cell.

CIF file:
```
data_CaDyIr
_chemical_formula_sum 'Ca3 Dy3 Ir3'
_cell_length_a 7.5832
_cell_length_b 7.5832
_cell_length_c 4.4437
_cell_angle_alpha 90.00
_cell_angle_beta 90.00
_cell_angle_gamma 120.00
_symmetry_space_group_name_H-M 'P -6 2 m'
_symmetry_Int_Tables_number 189
_symmetry_space_group_name_Hall 'P -6 -2'
loop_
_atom_site_label
_atom_site_type_symbol
_atom_site_fract_x
_atom_site_fract_y
_atom_site_fract_z
Ca1 Ca 0.0000 0.5880 0.0000
Dy1 Dy 0.0000 0.2612 0.5000
Ir1 Ir 0.0000 0.0000 0.0000
Ir2 Ir 0.3333 0.6667 0.5000
```

***

No. 11
Compound: BaZrCd
Source: Alexandria via LeMat-Bulk
Functional: PBE
Structure: relaxed

Its calculated density is 5.43 g cm⁻³. The calculation puts the total energy at -0.1328 hartree per atom. For the total magnetization, the calculation gives 0.00 μB/cell.

CIF file:
```
data_BaZrCd
_chemical_formula_sum 'Ba2 Zr2 Cd2'
_cell_length_a 5.5817
_cell_length_b 5.3367
_cell_length_c 6.9987
_cell_angle_alpha 90.00
_cell_angle_beta 90.60
_cell_angle_gamma 90.00
_symmetry_space_group_name_H-M 'P 1 m 1'
_symmetry_Int_Tables_number 6
loop_
_symmetry_equiv_pos_as_xyz
'x,y,z'
'x,-y,z'
loop_
_atom_site_label
_atom_site_type_symbol
_atom_site_fract_x
_atom_site_fract_y
_atom_site_fract_z
Ba1 Ba 0.0000 0.0000 0.0000
Ba2 Ba 0.4981 0.5000 0.7827
Zr1 Zr 0.2503 0.5000 0.3318
Zr2 Zr 0.7727 0.5000 0.3357
Cd1 Cd 0.0149 0.0000 0.4994
Cd2 Cd 0.5128 0.0000 0.3920
```

***

No. 12
Compound: MgNpH6Pt2
Source: Alexandria via LeMat-Bulk
Functional: PBE
Structure: relaxed

Its calculated density is 9.82 g cm⁻³. The calculation puts the total energy at -0.1747 hartree per atom. For the total magnetization, the calculation gives 10.22 μB/cell.

CIF file:
```
data_MgNpH6Pt2
_chemical_formula_sum 'Mg3 Np3 H18 Pt6'
_cell_length_a 4.5069
_cell_length_b 4.5069
_cell_length_c 18.9622
_cell_angle_alpha 90.00
_cell_angle_beta 90.00
_cell_angle_gamma 120.00
_symmetry_space_group_name_H-M 'R -3'
_symmetry_Int_Tables_number 148
_symmetry_space_group_name_Hall '-R 3'
loop_
_atom_site_label
_atom_site_type_symbol
_atom_site_fract_x
_atom_site_fract_y
_atom_site_fract_z
Mg1 Mg 0.0000 0.0000 0.0000
Np1 Np 0.0000 0.0000 0.5000
H1 H 0.0084 0.6308 0.2604
Pt1 Pt 0.0000 0.0000 0.2531
```